[1]
Density functional theory data (PBE) for a relaxed Na2SmBr4 crystal.

Cell: 8.6062 8.6062 8.6062 Å, 140.47 140.47 57.13°
Last column: nearest neighbours and their distance in Å.
Element x y z (fractional)
1 Na 0.1253 0.1253 0.0000  1 Br 2.84
2 Na 0.8747 0.8747 0.0000  1 Br 2.84
3 Sm 0.5000 0.5000 0.0000  6 Br 2.83-2.91
4 Br 0.0000 0.5000 0.5000  2 Sm 2.91
5 Br 0.3130 0.3130 0.0000  1 Sm 2.83, 1 Na 2.84
6 Br 0.5000 0.0000 0.5000  2 Sm 2.91
7 Br 0.6870 0.6870 0.0000  1 Sm 2.83, 1 Na 2.84

Computed properties:
E_form (uncorrected) ... -1.39 eV per atom
Magnetic moment ... 0.0 μB/cell
E_tot ... -23.8 eV/cell
DOS(E_F) ... 2.57 states/eV/f.u.
Space-group type ... I4/mmm


[2]
Density functional theory data (PBE) for a relaxed PrZnAg4 crystal.

Cell: 5.6008 5.6008 5.6008 Å, 60.00 60.00 60.00°
Last column: nearest neighbours and their distance in Å.
Element x y z (fractional)
1 Pr 0.0000 0.0000 0.0000  12 Ag 3.29, 4 Zn 3.43
2 Zn 0.7500 0.7500 0.7500  12 Ag 3.28, 4 Pr 3.43
3 Ag 0.3757 0.3757 0.3757  6 Ag 2.78-2.82
4 Ag 0.3757 0.3757 0.8728  6 Ag 2.78-2.82
5 Ag 0.3757 0.8728 0.3757  6 Ag 2.78-2.82
6 Ag 0.8728 0.3757 0.3757  6 Ag 2.78-2.82

Computed properties:
Energy of formation from the pure elements ... -0.12 eV/atom
ΔE to the lowest computed polymorph ... 0.008 eV/atom
Magnetic moment ... 0.0 μB/cell
E_tot ... -18.2 eV/cell
DOS(E_F) ... 5.83 states/eV/f.u.
Space-group type ... F-43m


[3]
Density functional theory data (PBE) for a relaxed SrAu5 crystal.

Cell: 4.0145 8.5833 8.5833 Å, 27.22 90.00 90.00°
Last column: nearest neighbours and their distance in Å.
Element x y z (fractional)
1 Sr 0.0000 0.0000 0.0000  8 Au 3.15-3.35
2 Au 0.0000 0.2949 0.2949  10 Au 2.85-3.05
3 Au 0.0000 0.6602 0.6602  8 Au 2.85-3.02
4 Au 0.5000 0.1574 0.1574  8 Au 2.85-3.07
5 Au 0.5000 0.4192 0.4192  4 Au 2.89, 4 Sr 3.15
6 Au 0.5000 0.7956 0.7956  10 Au 2.85-3.07

Computed properties:
Energy of formation from the pure elements ... -0.26 eV/atom
Magnetic moment ... 0.0 μB/cell
E_tot ... -19.6 eV/cell
DOS(E_F) ... 1.42 states/eV/f.u.
Space-group type ... Amm2


[4]
Density functional theory data (PBE) for a relaxed VAgSb2I crystal.

Cell: 5.3082 5.3082 5.6056 Å, 90.00 90.00 90.00°
Last column: nearest neighbours and their distance in Å.
Element x y z (fractional)
1 V 0.0000 0.0000 0.0000  4 I 3.75, 8 Sb 3.86
2 Ag 0.5000 0.5000 0.5000  4 Sb 2.65, 2 I 2.80
3 Sb 0.0000 0.5000 0.5000  2 Ag 2.65
4 Sb 0.5000 0.0000 0.5000  2 Ag 2.65
5 I 0.5000 0.5000 0.0000  2 Ag 2.80

Computed properties:
E_form (uncorrected) ... 1.26 eV per atom
ΔE to the lowest computed polymorph ... 0.793 eV/atom
Magnetic moment ... 0.3 μB/cell
E_tot ... -15.5 eV/cell
DOS(E_F) ... 9.68 states/eV/f.u.
Space-group type ... P4/mmm


[5]
Density functional theory data (PBE) for a relaxed DyHgSb crystal.

Cell: 5.5086 5.5086 5.5086 Å, 135.32 135.32 65.04°
Last column: nearest neighbours and their distance in Å.
Element x y z (fractional)
1 Dy 0.0000 0.0000 0.0000  1 Hg 3.00, 5 Sb 3.26-3.27
2 Hg 0.6769 0.6769 0.0000  1 Dy 3.00, 1 Sb 3.02
3 Sb 0.3522 0.3522 0.0000  1 Hg 3.02, 5 Dy 3.26-3.27

Computed properties:
E_form (uncorrected) ... -0.48 eV per atom
ΔE to the lowest computed polymorph ... 0.057 eV/atom
Magnetic moment ... 0.0 μB/cell
E_tot ... -10.5 eV/cell
DOS(E_F) ... 1.45 states/eV/f.u.
Space-group type ... I4mm


[6]
Density functional theory data (PBE) for a relaxed SmDyAg crystal.

Cell: 4.7843 4.7843 7.5578 Å, 90.00 90.00 90.00°
Last column: nearest neighbours and their distance in Å.
Element x y z (fractional)
1 Sm 0.2500 0.2500 0.1296  1 Ag 2.91
2 Sm 0.7500 0.7500 0.8704  1 Ag 2.91
3 Dy 0.2500 0.7500 0.5000  4 Ag 3.02, 4 Dy 3.38
4 Dy 0.7500 0.2500 0.5000  4 Ag 3.02, 4 Dy 3.38
5 Ag 0.2500 0.2500 0.7444  1 Sm 2.91, 4 Dy 3.02
6 Ag 0.7500 0.7500 0.2556  1 Sm 2.91, 4 Dy 3.02

Computed properties:
Energy of formation from the pure elements ... -0.11 eV/atom
ΔE to the lowest computed polymorph ... 0.059 eV/atom
Magnetic moment ... 0.0 μB/cell
E_tot ... -25.0 eV/cell
DOS(E_F) ... 4.54 states/eV/f.u.
Space-group type ... P4/nmm


[7]
Density functional theory data (PBE) for a relaxed Y3NiTe2 crystal.

Cell: 7.5500 7.5500 7.5500 Å, 148.74 132.37 58.08°
Last column: nearest neighbours and their distance in Å.
Element x y z (fractional)
1 Y 0.0000 0.0000 0.0000  2 Ni 3.05, 4 Te 3.12
2 Y 0.3655 0.3655 0.0000  2 Ni 2.70
3 Y 0.6345 0.6345 0.0000  2 Ni 2.70
4 Ni 0.5000 0.0000 0.5000  4 Y 2.70
5 Te 0.1796 0.6796 0.5000  6 Y 3.11-3.19
6 Te 0.8204 0.3204 0.5000  6 Y 3.11-3.19

Computed properties:
E_form (uncorrected) ... -0.96 eV per atom
Magnetic moment ... 0.0 μB/cell
E_tot ... -37.2 eV/cell
DOS(E_F) ... 6.33 states/eV/f.u.
Space-group type ... Immm


[8]
Density functional theory data (PBE) for a relaxed MgAl2Te crystal.

Cell: 3.0640 4.6763 6.2007 Å, 90.00 90.00 90.00°
Last column: nearest neighbours and their distance in Å.
Element x y z (fractional)
1 Mg 0.0000 0.0000 0.0000  2 Mg 3.06, 2 Te 3.10, 8 Al 3.11
2 Al 0.5000 0.5000 0.2203  1 Al 2.73
3 Al 0.5000 0.5000 0.7797  1 Al 2.73
4 Te 0.0000 0.0000 0.5000  2 Te 3.06, 2 Mg 3.10, 8 Al 3.29

Computed properties:
E_form (uncorrected) ... 0.14 eV per atom
ΔE to the lowest computed polymorph ... 0.238 eV/atom
Magnetic moment ... 0.0 μB/cell
E_tot ... -11.7 eV/cell
DOS(E_F) ... 1.86 states/eV/f.u.
Space-group type ... Pmmm


[9]
Density functional theory data (PBE) for a relaxed CoNi6Pt2 crystal.

Cell: 6.4008 6.4008 6.5808 Å, 114.96 114.96 84.35°
Last column: nearest neighbours and their distance in Å.
Element x y z (fractional)
1 Co 0.1485 0.8515 0.7500  6 Ni 2.44-2.62, 4 Pt 2.56
2 Co 0.8515 0.1485 0.2500  6 Ni 2.44-2.62, 4 Pt 2.56
3 Ni 0.0031 0.1959 0.6869  2 Co 2.44-2.50, 7 Ni 2.46-2.66, 1 Pt 2.57
4 Ni 0.0625 0.3782 0.1302  6 Ni 2.34-2.59, 2 Pt 2.53-2.57
5 Ni 0.1959 0.0031 0.1869  2 Co 2.44-2.50, 7 Ni 2.46-2.66, 1 Pt 2.57
6 Ni 0.3368 0.6015 0.0486  5 Ni 2.34-2.55, 3 Pt 2.54-2.59
7 Ni 0.3782 0.0625 0.6302  6 Ni 2.34-2.59, 2 Pt 2.53-2.57
8 Ni 0.3985 0.6632 0.4514  5 Ni 2.34-2.55, 3 Pt 2.54-2.59
9 Ni 0.6015 0.3368 0.5486  5 Ni 2.34-2.55, 3 Pt 2.54-2.59
10 Ni 0.6218 0.9375 0.3698  6 Ni 2.34-2.59, 2 Pt 2.53-2.57
11 Ni 0.6632 0.3985 0.9514  5 Ni 2.34-2.55, 3 Pt 2.54-2.59
12 Ni 0.8041 0.9969 0.8131  2 Co 2.44-2.50, 7 Ni 2.46-2.66, 1 Pt 2.57
13 Ni 0.9375 0.6218 0.8698  6 Ni 2.34-2.59, 2 Pt 2.53-2.57
14 Ni 0.9969 0.8041 0.3131  2 Co 2.44-2.50, 7 Ni 2.46-2.66, 1 Pt 2.57
15 Pt 0.2160 0.4224 0.5772  7 Ni 2.53-2.79, 2 Co 2.56, 1 Pt 2.76
16 Pt 0.4224 0.2160 0.0772  7 Ni 2.53-2.79, 2 Co 2.56, 1 Pt 2.76
17 Pt 0.5776 0.7840 0.9228  7 Ni 2.53-2.79, 2 Co 2.56, 1 Pt 2.76
18 Pt 0.7840 0.5776 0.4228  7 Ni 2.53-2.79, 2 Co 2.56, 1 Pt 2.76

Computed properties:
Energy of formation from the pure elements ... 0.03 eV/atom
ΔE to the lowest computed polymorph ... 0.000 eV/atom
Magnetic moment ... 13.3 μB/cell
E_tot ... -107.1 eV/cell
DOS(E_F) ... 13.63 states/eV/f.u.
Space-group type ... C2/c


[10]
Density functional theory data (PBE) for a relaxed Pr2YHo6Tm crystal.

Cell: 8.7729 8.7729 9.6818 Å, 94.56 94.56 118.28°
Last column: nearest neighbours and their distance in Å.
Element x y z (fractional)
1 Pr 0.1942 0.3000 0.0427  5 Ho 3.25-3.52, 2 Y 3.36-3.39, 1 Tm 3.56
2 Pr 0.3000 0.1942 0.5427  5 Ho 3.25-3.52, 2 Y 3.36-3.39, 1 Tm 3.56
3 Pr 0.7000 0.8058 0.4573  5 Ho 3.25-3.52, 2 Y 3.36-3.39, 1 Tm 3.56
4 Pr 0.8058 0.7000 0.9573  5 Ho 3.25-3.52, 2 Y 3.36-3.39, 1 Tm 3.56
5 Y 0.0174 0.9826 0.2500  4 Pr 3.36-3.39, 4 Ho 3.59-3.66
6 Y 0.9826 0.0174 0.7500  4 Pr 3.36-3.39, 4 Ho 3.59-3.66
7 Ho 0.0214 0.5754 0.1883  2 Ho 3.23-3.56, 1 Pr 3.38, 1 Tm 3.45, 1 Y 3.59
8 Ho 0.1266 0.7436 0.5573  8 Ho 3.39-3.78, 1 Pr 3.52, 1 Y 3.66, 1 Tm 3.74
9 Ho 0.2564 0.8734 0.9427  8 Ho 3.39-3.78, 1 Pr 3.52, 1 Y 3.66, 1 Tm 3.74
10 Ho 0.2918 0.5023 0.3815  4 Ho 3.23-3.49, 3 Pr 3.25-3.44, 2 Tm 3.43-3.55
11 Ho 0.4246 0.9786 0.3117  2 Ho 3.23-3.56, 1 Pr 3.38, 1 Tm 3.45, 1 Y 3.59
12 Ho 0.4977 0.7082 0.1185  4 Ho 3.23-3.49, 3 Pr 3.25-3.44, 2 Tm 3.43-3.55
13 Ho 0.5023 0.2918 0.8815  4 Ho 3.23-3.49, 3 Pr 3.25-3.44, 2 Tm 3.43-3.55
14 Ho 0.5754 0.0214 0.6883  2 Ho 3.23-3.56, 1 Pr 3.38, 1 Tm 3.45, 1 Y 3.59
15 Ho 0.7082 0.4977 0.6185  4 Ho 3.23-3.49, 3 Pr 3.25-3.44, 2 Tm 3.43-3.55
16 Ho 0.7436 0.1266 0.0573  8 Ho 3.39-3.78, 1 Pr 3.52, 1 Y 3.66, 1 Tm 3.74
17 Ho 0.8734 0.2564 0.4427  8 Ho 3.39-3.78, 1 Pr 3.52, 1 Y 3.66, 1 Tm 3.74
18 Ho 0.9786 0.4246 0.8117  2 Ho 3.23-3.56, 1 Pr 3.38, 1 Tm 3.45, 1 Y 3.59
19 Tm 0.4067 0.5933 0.7500  8 Ho 3.43-3.74, 2 Pr 3.56
20 Tm 0.5933 0.4067 0.2500  8 Ho 3.43-3.74, 2 Pr 3.56

Computed properties:
Energy of formation from the pure elements ... 0.11 eV/atom
Magnetic moment ... 0.0 μB/cell
E_tot ... -93.6 eV/cell
DOS(E_F) ... 13.24 states/eV/f.u.
Space-group type ... C2/c


[11]
Density functional theory data (PBE) for a relaxed CoPt5 crystal.

Cell: 5.1683 5.1683 4.5469 Å, 90.00 90.00 120.00°
Last column: nearest neighbours and their distance in Å.
Element x y z (fractional)
1 Co 0.0000 0.0000 0.0000  6 Pt 2.98
2 Pt 0.0000 0.5000 0.5000  8 Pt 2.58-2.72
3 Pt 0.3333 0.6667 0.0000  9 Pt 2.72-2.98, 3 Co 2.98
4 Pt 0.5000 0.0000 0.5000  8 Pt 2.58-2.72
5 Pt 0.5000 0.5000 0.5000  8 Pt 2.58-2.72
6 Pt 0.6667 0.3333 0.0000  9 Pt 2.72-2.98, 3 Co 2.98

Computed properties:
Energy of formation from the pure elements ... 0.37 eV/atom
Magnetic moment ... 2.6 μB/cell
E_tot ... -35.1 eV/cell
DOS(E_F) ... 7.87 states/eV/f.u.
Space-group type ... P6/mmm


[12]
Density functional theory data (PBE) for a relaxed La2NdSi crystal.

Cell: 4.7942 4.7942 4.9007 Å, 90.00 90.00 90.00°
Last column: nearest neighbours and their distance in Å.
Element x y z (fractional)
1 La 0.0000 0.5000 0.0000  4 La 3.39, 4 Nd 3.43, 4 Si 3.43
2 La 0.5000 0.0000 0.0000  4 La 3.39, 4 Nd 3.43, 4 Si 3.43
3 Nd 0.0000 0.0000 0.5000  4 Si 3.39, 8 La 3.43
4 Si 0.5000 0.5000 0.5000  4 Nd 3.39, 8 La 3.43

Computed properties:
E_form (uncorrected) ... -0.28 eV per atom
ΔE to the lowest computed polymorph ... 0.102 eV/atom
Magnetic moment ... 0.0 μB/cell
E_tot ... -21.2 eV/cell
DOS(E_F) ... 4.38 states/eV/f.u.
Space-group type ... P4/mmm


> Among the records above, which one has the highest DOS(E_F)?

CoNi6Pt2